No. 1
First-principles (PBE) data for a relaxed PrAl2Zn2 crystal, as listed in Alexandria.

Values from the calculation:
DFT total energy   -3.40 eV/atom
SG   I4/mmm (139)
Formation enthalpy at 0 K   -440 meV/atom

Cell lengths 6.238, 6.238, 6.238 Å; angles 140.38, 140.38, 57.28 degrees
Element x y z (fractional)
Pr 0.000 0.000 0.000
Al 0.250 0.750 0.500
Al 0.750 0.250 0.500
Zn 0.388 0.388 0.000
Zn 0.612 0.612 0.000

***

No. 2
First-principles (PBE) data for a relaxed Pr6AlZn crystal, as listed in Alexandria.

Values from the calculation:
DFT total energy   -4.36 eV/atom
SG   I4/mmm (139)
Formation enthalpy at 0 K   -146 meV/atom

Cell lengths 9.682, 9.682, 9.682 Å; angles 148.29, 148.29, 45.46 degrees
Element x y z (fractional)
Pr 0.103 0.603 0.500
Pr 0.248 0.248 0.000
Pr 0.397 0.897 0.500
Pr 0.603 0.103 0.500
Pr 0.752 0.752 0.000
Pr 0.897 0.397 0.500
Al 0.000 0.000 0.000
Zn 0.500 0.500 0.000

***

No. 3
First-principles (PBE) data for a relaxed Pr2Al2Zn15 crystal, as listed in Alexandria.

Values from the calculation:
DFT total energy   -2.15 eV/atom
SG   R-3m (166)
Formation enthalpy at 0 K   -251 meV/atom

Cell lengths 6.870, 6.870, 6.870 Å; angles 83.15, 83.15, 83.15 degrees
Element x y z (fractional)
Pr 0.164 0.164 0.164
Pr 0.836 0.836 0.836
Al 0.401 0.401 0.401
Al 0.599 0.599 0.599
Zn 0.000 0.500 0.500
Zn 0.149 0.149 0.662
Zn 0.149 0.662 0.149
Zn 0.204 0.500 0.796
Zn 0.204 0.796 0.500
Zn 0.338 0.851 0.851
Zn 0.500 0.000 0.500
Zn 0.500 0.204 0.796
Zn 0.500 0.500 0.000
Zn 0.500 0.796 0.204
Zn 0.662 0.149 0.149
Zn 0.796 0.204 0.500
Zn 0.796 0.500 0.204
Zn 0.851 0.338 0.851
Zn 0.851 0.851 0.338

***

No. 4
First-principles (PBE) data for a relaxed Pr3Al4Zn2 crystal, as listed in Alexandria.

Values from the calculation:
DFT total energy   -3.97 eV/atom
SG   C2/m (12)
Formation enthalpy at 0 K   -434 meV/atom

Cell lengths 5.986, 5.986, 8.805 Å; angles 108.43, 108.43, 44.98 degrees
Element x y z (fractional)
Pr 0.000 0.000 0.000
Pr 0.332 0.332 0.336
Pr 0.668 0.668 0.664
Al 0.051 0.051 0.383
Al 0.274 0.274 0.938
Al 0.726 0.726 0.062
Al 0.949 0.949 0.617
Zn 0.390 0.390 0.722
Zn 0.610 0.610 0.278

***

No. 5
First-principles (PBE) data for a relaxed Pr8AlZn2 crystal, as listed in Alexandria.

Values from the calculation:
DFT total energy   -4.14 eV/atom
SG   Immm (71)
Formation enthalpy at 0 K   -95 meV/atom
Relative energy among the computed polymorphs   36 meV per atom

Cell lengths 9.055, 9.055, 9.055 Å; angles 147.19, 123.01, 67.34 degrees
Element x y z (fractional)
Pr 0.114 0.339 0.775
Pr 0.138 0.138 0.000
Pr 0.316 0.000 0.316
Pr 0.437 0.661 0.775
Pr 0.563 0.339 0.225
Pr 0.684 0.000 0.684
Pr 0.862 0.862 0.000
Pr 0.886 0.661 0.225
Al 0.000 0.500 0.500
Zn 0.307 0.807 0.500
Zn 0.693 0.193 0.500

***

No. 6
First-principles (PBE) data for a relaxed Pr4AlZn crystal, as listed in Alexandria.

Values from the calculation:
DFT total energy   -4.02 eV/atom
SG   P4/mmm (123)
Formation enthalpy at 0 K   3 meV/atom
Relative energy among the computed polymorphs   185 meV per atom

Cell lengths 5.185, 5.185, 7.323 Å; angles 90.00, 90.00, 90.00 degrees
Element x y z (fractional)
Pr 0.000 0.500 0.247
Pr 0.000 0.500 0.753
Pr 0.500 0.000 0.247
Pr 0.500 0.000 0.753
Al 0.000 0.000 0.500
Zn 0.500 0.500 0.000

***

No. 7
First-principles (PBE) data for a relaxed PrAlZn2 crystal, as listed in Alexandria.

Values from the calculation:
DFT total energy   -3.04 eV/atom
SG   Fm-3m (225)
Formation enthalpy at 0 K   -277 meV/atom

Cell lengths 4.853, 4.853, 4.853 Å; angles 60.00, 60.00, 60.00 degrees
Element x y z (fractional)
Pr 0.000 0.000 0.000
Al 0.500 0.500 0.500
Zn 0.250 0.250 0.250
Zn 0.750 0.750 0.750

***

No. 8
First-principles (PBE) data for a relaxed Pr7Al2Zn2 crystal, as listed in Alexandria.

Values from the calculation:
DFT total energy   -3.96 eV/atom
SG   Cmmm (65)
Formation enthalpy at 0 K   -7 meV/atom

Cell lengths 6.883, 6.883, 7.652 Å; angles 90.00, 90.00, 109.67 degrees
Element x y z (fractional)
Pr 0.000 0.000 0.000
Pr 0.000 0.500 0.286
Pr 0.000 0.500 0.714
Pr 0.500 0.000 0.286
Pr 0.500 0.000 0.714
Pr 0.500 0.500 0.258
Pr 0.500 0.500 0.742
Al 0.164 0.164 0.500
Al 0.836 0.836 0.500
Zn 0.287 0.713 0.000
Zn 0.713 0.287 0.000

***

No. 9
First-principles (PBE) data for a relaxed Pr2Al5Zn2 crystal, as listed in Alexandria.

Values from the calculation:
DFT total energy   -3.76 eV/atom
SG   P4/mmm (123)
Formation enthalpy at 0 K   -336 meV/atom

Cell lengths 4.273, 4.273, 10.110 Å; angles 90.00, 90.00, 90.00 degrees
Element x y z (fractional)
Pr 0.000 0.000 0.000
Pr 0.000 0.000 0.500
Al 0.000 0.500 0.229
Al 0.000 0.500 0.771
Al 0.500 0.000 0.229
Al 0.500 0.000 0.771
Al 0.500 0.500 0.000
Zn 0.500 0.500 0.381
Zn 0.500 0.500 0.619

***

No. 10
First-principles (PBE) data for a relaxed Pr6Al3Zn crystal, as listed in Alexandria.

Values from the calculation:
DFT total energy   -4.21 eV/atom
SG   P2_1/c (14)
Formation enthalpy at 0 K   -92 meV/atom

Cell lengths 8.407, 7.913, 12.109 Å; angles 90.00, 131.86, 90.00 degrees
Element x y z (fractional)
Pr 0.014 0.094 0.266
Pr 0.014 0.406 0.766
Pr 0.260 0.672 0.076
Pr 0.260 0.828 0.576
Pr 0.416 0.146 0.064
Pr 0.416 0.354 0.564
Pr 0.584 0.646 0.436
Pr 0.584 0.854 0.936
Pr 0.740 0.172 0.424
Pr 0.740 0.328 0.924
Pr 0.986 0.594 0.234
Pr 0.986 0.906 0.734
Al 0.000 0.000 0.000
Al 0.000 0.500 0.500
Al 0.258 0.169 0.714
Al 0.258 0.331 0.214
Al 0.742 0.669 0.786
Al 0.742 0.831 0.286
Zn 0.500 0.000 0.500
Zn 0.500 0.500 0.000

***

No. 11
First-principles (PBE) data for a relaxed Pr2AlZn9 crystal, as listed in Alexandria.

Values from the calculation:
DFT total energy   -2.15 eV/atom
SG   R-3m (166)
Formation enthalpy at 0 K   -88 meV/atom

Cell lengths 9.070, 9.070, 9.070 Å; angles 36.01, 36.01, 36.01 degrees
Element x y z (fractional)
Pr 0.137 0.137 0.137
Pr 0.863 0.863 0.863
Al 0.000 0.000 0.000
Zn 0.076 0.584 0.584
Zn 0.334 0.334 0.334
Zn 0.416 0.416 0.924
Zn 0.416 0.924 0.416
Zn 0.500 0.500 0.500
Zn 0.584 0.076 0.584
Zn 0.584 0.584 0.076
Zn 0.666 0.666 0.666
Zn 0.924 0.416 0.416

***

No. 12
First-principles (PBE) data for a relaxed PrAl12Zn4 crystal, as listed in Alexandria.

Values from the calculation:
DFT total energy   -3.07 eV/atom
SG   Im-3 (204)
Formation enthalpy at 0 K   151 meV/atom

Cell lengths 7.622, 7.622, 7.622 Å; angles 109.47, 109.47, 109.47 degrees
Element x y z (fractional)
Pr 0.000 0.000 0.000
Al 0.156 0.350 0.507
Al 0.156 0.650 0.806
Al 0.194 0.844 0.350
Al 0.350 0.194 0.844
Al 0.350 0.507 0.156
Al 0.493 0.844 0.650
Al 0.507 0.156 0.350
Al 0.650 0.493 0.844
Al 0.650 0.806 0.156
Al 0.806 0.156 0.650
Al 0.844 0.350 0.194
Al 0.844 0.650 0.493
Zn 0.000 0.000 0.500
Zn 0.000 0.500 0.000
Zn 0.500 0.000 0.000
Zn 0.500 0.500 0.500

***

No. 13
First-principles (PBE) data for a relaxed Pr5AlZn4 crystal, as listed in Alexandria.

Values from the calculation:
DFT total energy   -3.58 eV/atom
SG   P4/mmm (123)
Formation enthalpy at 0 K   -303 meV/atom

Cell lengths 3.710, 3.710, 18.777 Å; angles 90.00, 90.00, 90.00 degrees
Element x y z (fractional)
Pr 0.000 0.000 0.000
Pr 0.000 0.000 0.199
Pr 0.000 0.000 0.398
Pr 0.000 0.000 0.602
Pr 0.000 0.000 0.801
Al 0.500 0.500 0.500
Zn 0.500 0.500 0.099
Zn 0.500 0.500 0.297
Zn 0.500 0.500 0.703
Zn 0.500 0.500 0.901

***

No. 14
First-principles (PBE) data for a relaxed Pr2Al3Zn crystal, as listed in Alexandria.

Values from the calculation:
DFT total energy   -4.12 eV/atom
SG   Fmmm (69)
Formation enthalpy at 0 K   -447 meV/atom

Cell lengths 9.154, 8.814, 5.993 Å; angles 73.61, 67.48, 38.91 degrees
Element x y z (fractional)
Pr 0.248 0.752 0.752
Pr 0.250 0.250 0.250
Pr 0.750 0.750 0.750
Pr 0.752 0.248 0.248
Al 0.166 0.666 0.334
Al 0.332 0.332 0.668
Al 0.334 0.834 0.166
Al 0.666 0.166 0.834
Al 0.668 0.668 0.332
Al 0.834 0.334 0.666
Zn 0.167 0.167 0.833
Zn 0.833 0.833 0.167

***

No. 15
First-principles (PBE) data for a relaxed PrAl2Zn6 crystal, as listed in Alexandria.

Values from the calculation:
DFT total energy   -2.31 eV/atom
SG   Immm (71)
Formation enthalpy at 0 K   -97 meV/atom

Cell lengths 7.174, 7.174, 7.174 Å; angles 146.35, 123.24, 67.62 degrees
Element x y z (fractional)
Pr 0.000 0.000 0.000
Al 0.384 0.884 0.500
Al 0.616 0.116 0.500
Zn 0.002 0.307 0.695
Zn 0.323 0.500 0.823
Zn 0.387 0.693 0.695
Zn 0.613 0.307 0.305
Zn 0.677 0.500 0.177
Zn 0.998 0.693 0.305

***

No. 16
First-principles (PBE) data for a relaxed PrAl4Zn12 crystal, as listed in Alexandria.

Values from the calculation:
DFT total energy   -1.85 eV/atom
SG   Im-3 (204)
Formation enthalpy at 0 K   207 meV/atom

Cell lengths 7.642, 7.642, 7.642 Å; angles 109.47, 109.47, 109.47 degrees
Element x y z (fractional)
Pr 0.000 0.000 0.000
Al 0.000 0.000 0.500
Al 0.000 0.500 0.000
Al 0.500 0.000 0.000
Al 0.500 0.500 0.500
Zn 0.148 0.504 0.356
Zn 0.148 0.793 0.644
Zn 0.207 0.356 0.852
Zn 0.356 0.148 0.504
Zn 0.356 0.852 0.207
Zn 0.496 0.644 0.852
Zn 0.504 0.356 0.148
Zn 0.644 0.148 0.793
Zn 0.644 0.852 0.496
Zn 0.793 0.644 0.148
Zn 0.852 0.207 0.356
Zn 0.852 0.496 0.644

***

No. 17
First-principles (PBE) data for a relaxed Pr2Al3Zn5 crystal, as listed in Alexandria.

Values from the calculation:
DFT total energy   -3.08 eV/atom
SG   P-4m2 (115)
Formation enthalpy at 0 K   -365 meV/atom
Relative energy among the computed polymorphs   28 meV per atom

Cell lengths 4.320, 4.320, 10.604 Å; angles 90.00, 90.00, 90.00 degrees
Element x y z (fractional)
Pr 0.000 0.500 0.246
Pr 0.500 0.000 0.754
Al 0.000 0.500 0.643
Al 0.500 0.000 0.357
Al 0.500 0.500 0.500
Zn 0.000 0.000 0.000
Zn 0.000 0.000 0.500
Zn 0.000 0.500 0.876
Zn 0.500 0.000 0.124
Zn 0.500 0.500 0.000

***

No. 18
First-principles (PBE) data for a relaxed PrAl3Zn2 crystal, as listed in Alexandria.

Values from the calculation:
DFT total energy   -3.36 eV/atom
SG   C2/m (12)
Formation enthalpy at 0 K   -263 meV/atom
Relative energy among the computed polymorphs   24 meV per atom

Cell lengths 8.273, 8.273, 6.836 Å; angles 105.44, 105.44, 31.04 degrees
Element x y z (fractional)
Pr 0.119 0.119 0.193
Pr 0.881 0.881 0.807
Al 0.066 0.066 0.679
Al 0.303 0.303 0.074
Al 0.372 0.372 0.483
Al 0.628 0.628 0.517
Al 0.697 0.697 0.926
Al 0.934 0.934 0.321
Zn 0.234 0.234 0.670
Zn 0.474 0.474 0.162
Zn 0.526 0.526 0.838
Zn 0.766 0.766 0.330

***

No. 19
First-principles (PBE) data for a relaxed Pr4AlZn crystal, as listed in Alexandria.

Values from the calculation:
DFT total energy   -4.21 eV/atom
SG   C2/m (12)
Formation enthalpy at 0 K   -183 meV/atom
Relative energy among the computed polymorphs   0 meV per atom

Cell lengths 6.756, 6.756, 7.598 Å; angles 106.31, 106.31, 32.50 degrees
Element x y z (fractional)
Pr 0.143 0.143 0.325
Pr 0.147 0.147 0.820
Pr 0.853 0.853 0.180
Pr 0.857 0.857 0.675
Al 0.500 0.500 0.000
Zn 0.500 0.500 0.500

***

No. 20
First-principles (PBE) data for a relaxed Pr3Al2Zn3 crystal, as listed in Alexandria.

Values from the calculation:
DFT total energy   -3.58 eV/atom
SG   Cmcm (63)
Formation enthalpy at 0 K   -376 meV/atom

Cell lengths 5.908, 5.908, 15.067 Å; angles 90.00, 90.00, 134.24 degrees
Element x y z (fractional)
Pr 0.097 0.903 0.608
Pr 0.097 0.903 0.892
Pr 0.389 0.611 0.750
Pr 0.611 0.389 0.250
Pr 0.903 0.097 0.108
Pr 0.903 0.097 0.392
Al 0.201 0.799 0.097
Al 0.201 0.799 0.403
Al 0.799 0.201 0.597
Al 0.799 0.201 0.903
Zn 0.317 0.683 0.250
Zn 0.386 0.614 0.535
Zn 0.386 0.614 0.965
Zn 0.614 0.386 0.035
Zn 0.614 0.386 0.465
Zn 0.683 0.317 0.750